# Zr2CoSn PBE relaxed
data_Zr2CoSn
_cell_length_a 3.473
_cell_length_b 3.473
_cell_length_c 8.305
_cell_angle_alpha 77.93
_cell_angle_beta 77.93
_cell_angle_gamma 60.00
_space_group_name_H-M_alt 'P 1'
_space_group_IT_number 1
_space_group_name_Hall 'P 1'
loop_
_atom_site_label
_atom_site_type_symbol
_atom_site_fract_x
_atom_site_fract_y
_atom_site_fract_z
Co1 Co 0.000 0.000 0.000
Sn1 Sn 0.500 0.500 0.500
Zr1 Zr 0.269 0.269 0.193
Zr2 Zr 0.731 0.731 0.807
# VASP energy = -29.02 eV/cell
# space-group type = R-3m, No. 166
# M_tot = 0.000 μB/cell
# energy relative to the elements = -0.82 eV per formula unit

***

# Sr3Co PBE relaxed
data_Sr3Co
_cell_length_a 5.893
_cell_length_b 5.893
_cell_length_c 5.893
_cell_angle_alpha 60.00
_cell_angle_beta 60.00
_cell_angle_gamma 60.00
_space_group_name_H-M_alt 'P 1'
_space_group_IT_number 1
_space_group_name_Hall 'P 1'
loop_
_atom_site_label
_atom_site_type_symbol
_atom_site_fract_x
_atom_site_fract_y
_atom_site_fract_z
Co1 Co 0.000 0.000 0.000
Sr1 Sr 0.250 0.250 0.250
Sr2 Sr 0.500 0.500 0.500
Sr3 Sr 0.750 0.750 0.750
# VASP energy = -9.64 eV/cell
# space-group type = Fm-3m, No. 225
# M_tot = 0.795 μB/cell
# energy relative to the elements = 2.51 eV per formula unit

***

# Sr7Co6 PBE relaxed
data_Sr7Co6
_cell_length_a 9.192
_cell_length_b 9.192
_cell_length_c 9.192
_cell_angle_alpha 49.16
_cell_angle_beta 49.16
_cell_angle_gamma 49.16
_space_group_name_H-M_alt 'P 1'
_space_group_IT_number 1
_space_group_name_Hall 'P 1'
loop_
_atom_site_label
_atom_site_type_symbol
_atom_site_fract_x
_atom_site_fract_y
_atom_site_fract_z
Sr1 Sr 0.959 0.413 0.413
Sr2 Sr 0.413 0.413 0.959
Sr3 Sr 0.413 0.959 0.413
Sr4 Sr 0.041 0.587 0.587
Sr5 Sr 0.587 0.041 0.587
Sr6 Sr 0.587 0.587 0.041
Sr7 Sr 0.500 0.500 0.500
Co1 Co 0.953 0.953 0.953
Co2 Co 0.047 0.047 0.047
Co3 Co 0.864 0.864 0.864
Co4 Co 0.136 0.136 0.136
Co5 Co 0.646 0.646 0.646
Co6 Co 0.354 0.354 0.354
# VASP energy = -41.14 eV/cell
# space-group type = R-3m, No. 166
# M_tot = 6.476 μB/cell
# energy relative to the elements = 13.27 eV per formula unit

***

What is the VASP energy in the first record?
-29.02 eV/cell

***

Which of these has the lowest VASP energy?
Sr7Co6

***

What is the VASP energy in the first record?
-29.02 eV/cell